# 1
A plane-wave DFT calculation with PBE-GGA was carried out for a relaxed structure of ScBr3.

Cell and atoms, written as POSCAR:
```
ScBr3
1.0
-8.2072 4.2442 0.5945
-8.3098 2.8710 -2.9033
-9.2340 0.6763 0.0054
Sc Br
1 3
direct
0.0000 0.0000 0.0000 Sc
0.5000 0.5000 0.5000 Br
0.2731 0.2731 0.2731 Br
0.7269 0.7269 0.7269 Br
```

The calculation puts the density of states at the Fermi level at 2.69 states/eV/cell.

# 2
A plane-wave DFT calculation with PBE-GGA was carried out for a relaxed structure of Sc3Br.

Cell and atoms, written as POSCAR:
```
Sc3Br
1.0
5.3517 0.0000 0.0000
0.0000 5.3517 0.0000
0.0000 0.0000 3.3204
Br Sc
1 3
direct
0.0000 0.0000 0.0000 Br
0.5000 0.5000 0.0000 Sc
0.5000 0.0000 0.5000 Sc
0.0000 0.5000 0.5000 Sc
```

The calculation puts the density of states at the Fermi level at 5.39 states/eV/cell.

# 3
A plane-wave DFT calculation with PBE-GGA was carried out for a relaxed structure of ScBr4.

Cell and atoms, written as POSCAR:
```
ScBr4
1.0
5.3277 0.0000 0.0000
0.0000 5.3277 0.0000
0.0000 0.0000 5.3277
Br Sc
4 1
direct
0.0000 0.5000 0.5000 Br
0.0000 0.0000 0.0000 Br
0.5000 0.5000 0.0000 Br
0.5000 0.0000 0.5000 Br
0.5000 0.5000 0.5000 Sc
```

The calculation puts the density of states at the Fermi level at 5.61 states/eV/cell.

# 4
A plane-wave DFT calculation with PBE-GGA was carried out for a relaxed structure of Sc3Br.

Cell and atoms, written as POSCAR:
```
Sc3Br
1.0
-1.1757 -0.9636 -5.4996
3.3587 -4.3114 -1.6394
-4.3299 1.5700 3.3680
Sc Br
3 1
direct
0.5644 0.5000 0.0644 Sc
0.9665 0.2960 0.6704 Sc
0.3744 0.7040 0.6704 Sc
0.9281 0.0000 0.9281 Br
```

The calculation puts the density of states at the Fermi level at 4.83 states/eV/cell.

# 5
A plane-wave DFT calculation with PBE-GGA was carried out for a relaxed structure of Sc5Br.

Cell and atoms, written as POSCAR:
```
Sc5Br
1.0
0.0000 4.3059 4.3059
4.3059 0.0000 4.3059
4.3059 4.3059 0.0000
Br Sc
1 5
direct
0.0000 0.0000 0.0000 Br
0.6223 0.6223 0.1331 Sc
0.1331 0.6223 0.6223 Sc
0.6223 0.6223 0.6223 Sc
0.2500 0.2500 0.2500 Sc
0.6223 0.1331 0.6223 Sc
```

The calculation puts the density of states at the Fermi level at 8.24 states/eV/cell.

# 6
A plane-wave DFT calculation with PBE-GGA was carried out for a relaxed structure of ScBr3.

Cell and atoms, written as POSCAR:
```
ScBr3
1.0
6.8092 0.0000 0.0000
0.0000 11.5378 0.0000
-3.2831 0.0000 6.7383
Br Sc
12 4
direct
0.7616 0.4988 0.7776 Br
0.7887 0.6738 0.2436 Br
0.2616 0.5012 0.2776 Br
0.7285 0.8252 0.8068 Br
0.2887 0.3262 0.7436 Br
0.2616 0.0012 0.7776 Br
0.2285 0.1748 0.3068 Br
0.7285 0.3252 0.3068 Br
0.2887 0.8262 0.2436 Br
0.7616 0.9988 0.2776 Br
0.7887 0.1738 0.7436 Br
0.2285 0.6748 0.8068 Br
0.5092 0.8364 0.0258 Sc
0.0092 0.1636 0.5258 Sc
0.5092 0.3364 0.5258 Sc
0.0092 0.6636 0.0258 Sc
```

The calculation puts the density of states at the Fermi level at 0.00 states/eV/cell.

# 7
A plane-wave DFT calculation with PBE-GGA was carried out for a relaxed structure of ScBr.

Cell and atoms, written as POSCAR:
```
ScBr
1.0
-8.6114 -0.8294 6.4657
-1.0659 -10.3894 -2.7523
2.1808 -0.9605 2.7813
Sc Br
8 8
direct
0.4035 0.8630 0.0000 Sc
0.5965 0.1370 0.0000 Sc
0.3630 0.0965 0.5000 Sc
0.8630 0.5965 0.0000 Sc
0.6370 0.9035 0.5000 Sc
0.1370 0.4035 0.0000 Sc
0.9035 0.3630 0.5000 Sc
0.0965 0.6370 0.5000 Sc
0.7063 0.3922 0.0000 Br
0.2063 0.8922 0.5000 Br
0.3922 0.2937 0.0000 Br
0.6078 0.7063 0.0000 Br
0.8922 0.7937 0.5000 Br
0.1078 0.2063 0.5000 Br
0.7937 0.1078 0.5000 Br
0.2937 0.6078 0.0000 Br
```

The calculation puts the density of states at the Fermi level at 15.18 states/eV/cell.

# 8
A plane-wave DFT calculation with PBE-GGA was carried out for a relaxed structure of ScBr.

Cell and atoms, written as POSCAR:
```
ScBr
1.0
3.5682 0.0000 0.0000
0.0000 6.7858 0.0000
0.0000 0.0000 12.8398
Br Sc
6 6
direct
0.0000 0.6417 0.5000 Br
0.0000 0.7406 0.2112 Br
0.5000 0.2594 0.7112 Br
0.5000 0.3583 0.0000 Br
0.5000 0.2594 0.2888 Br
0.0000 0.7406 0.7888 Br
0.5000 0.3155 0.5000 Sc
0.0000 0.9964 0.6179 Sc
0.5000 0.0036 0.8821 Sc
0.0000 0.9964 0.3821 Sc
0.0000 0.6845 0.0000 Sc
0.5000 0.0036 0.1179 Sc
```

The calculation puts the density of states at the Fermi level at 9.45 states/eV/cell.

# 9
A plane-wave DFT calculation with PBE-GGA was carried out for a relaxed structure of ScBr.

Cell and atoms, written as POSCAR:
```
ScBr
1.0
-1.9765 -1.8502 -2.1684
3.7823 0.1762 -3.5979
1.8966 -4.1261 1.7918
Br Sc
2 2
direct
0.5000 0.5000 0.7462 Br
0.0000 0.0000 0.0871 Br
0.5000 0.0000 0.5568 Sc
0.0000 0.5000 0.2765 Sc
```

The calculation puts the density of states at the Fermi level at 3.54 states/eV/cell.

# 10
A plane-wave DFT calculation with PBE-GGA was carried out for a relaxed structure of ScBr3.

Cell and atoms, written as POSCAR:
```
ScBr3
1.0
-5.4517 5.3520 -0.3897
-6.5894 0.5768 3.8423
7.6224 -0.4448 -0.4664
Br Sc
3 1
direct
0.2500 0.7500 0.5000 Br
0.6056 0.6056 0.0000 Br
0.8944 0.8944 0.0000 Br
0.7500 0.2500 0.5000 Sc
```

# 11
A plane-wave DFT calculation with PBE-GGA was carried out for a relaxed structure of Sc3Br.

Cell and atoms, written as POSCAR:
```
Sc3Br
1.0
-2.3023 -3.9150 -3.9824
-2.7424 -5.2868 -1.0081
-5.4236 0.2952 -0.6664
Sc Br
3 1
direct
0.2748 0.2748 0.2282 Sc
0.7252 0.7252 0.7718 Sc
0.5000 0.5000 0.5000 Sc
0.0000 0.0000 0.0000 Br
```

The calculation puts the density of states at the Fermi level at 5.23 states/eV/cell.

# 12
A plane-wave DFT calculation with PBE-GGA was carried out for a relaxed structure of ScBr3.

Cell and atoms, written as POSCAR:
```
ScBr3
1.0
1.5263 -10.2898 1.2875
3.8804 -9.6174 -1.5218
4.9567 -9.0177 1.9950
Br Sc
3 1
direct
0.8871 0.8871 0.8871 Br
0.0000 0.0000 0.0000 Br
0.1129 0.1129 0.1129 Br
0.5000 0.5000 0.5000 Sc
```

The calculation puts the density of states at the Fermi level at 3.30 states/eV/cell.

# 13
A plane-wave DFT calculation with PBE-GGA was carried out for a relaxed structure of ScBr5.

Cell and atoms, written as POSCAR:
```
ScBr5
1.0
2.4395 -4.1599 3.7549
-1.9589 -0.4271 5.7737
-3.2973 -4.8364 1.7585
Br Sc
5 1
direct
0.6253 0.1240 0.6253 Br
0.1240 0.6253 0.6253 Br
0.6253 0.6253 0.1240 Br
0.6253 0.6253 0.6253 Br
0.2500 0.2500 0.2500 Br
0.0000 0.0000 0.0000 Sc
```

The calculation puts the density of states at the Fermi level at 6.47 states/eV/cell.

# 14
A plane-wave DFT calculation with PBE-GGA was carried out for a relaxed structure of ScBr.

Cell and atoms, written as POSCAR:
```
ScBr
1.0
2.4328 -4.2138 0.0000
2.4328 4.2138 0.0000
0.0000 0.0000 12.1008
Sc Br
4 4
direct
0.0000 0.0000 0.2500 Sc
0.3333 0.6667 0.7500 Sc
0.6667 0.3333 0.2500 Sc
0.0000 0.0000 0.7500 Sc
0.6667 0.3333 0.6129 Br
0.3333 0.6667 0.1129 Br
0.6667 0.3333 0.8871 Br
0.3333 0.6667 0.3871 Br
```

The calculation puts the density of states at the Fermi level at 7.09 states/eV/cell.

# 15
A plane-wave DFT calculation with PBE-GGA was carried out for a relaxed structure of ScBr.

Cell and atoms, written as POSCAR:
```
ScBr
1.0
3.4302 0.0000 0.0000
0.0000 4.8537 0.0000
0.0000 0.0000 4.8547
Sc Br
2 2
direct
0.5000 0.5000 0.9167 Sc
0.5000 0.0000 0.4166 Sc
0.0000 0.0000 0.9168 Br
0.0000 0.5000 0.4165 Br
```

The calculation puts the density of states at the Fermi level at 1.83 states/eV/cell.

# 16
A plane-wave DFT calculation with PBE-GGA was carried out for a relaxed structure of Sc3Br.

Cell and atoms, written as POSCAR:
```
Sc3Br
1.0
-3.0212 3.6509 -2.8073
3.0494 -3.2184 -3.2682
-2.5112 -2.2079 -0.1688
Sc Br
3 1
direct
0.0000 0.5000 0.5000 Sc
0.5000 0.5000 0.0000 Sc
0.5000 0.0000 0.5000 Sc
0.0000 0.0000 0.0000 Br
```

The calculation puts the density of states at the Fermi level at 5.14 states/eV/cell.

# 17
A plane-wave DFT calculation with PBE-GGA was carried out for a relaxed structure of Sc3Br.

Cell and atoms, written as POSCAR:
```
Sc3Br
1.0
9.5430 0.0052 0.0030
8.9258 3.3762 0.0030
8.9258 1.6342 2.9544
Br Sc
1 3
direct
0.0000 0.0000 0.0000 Br
0.5000 0.5000 0.5000 Sc
0.2556 0.2556 0.2556 Sc
0.7444 0.7444 0.7444 Sc
```

The calculation puts the density of states at the Fermi level at 5.60 states/eV/cell.

# 18
A plane-wave DFT calculation with PBE-GGA was carried out for a relaxed structure of ScBr.

Cell and atoms, written as POSCAR:
```
ScBr
1.0
10.8832 0.0000 0.0000
0.0000 10.8832 0.0000
0.0000 0.0000 3.6277
Br Sc
8 8
direct
0.8840 0.8027 0.0000 Br
0.1160 0.1973 0.0000 Br
0.4002 0.2836 0.5000 Br
0.2836 0.5998 0.5000 Br
0.8027 0.1160 0.0000 Br
0.1973 0.8840 0.0000 Br
0.5998 0.7164 0.5000 Br
0.7164 0.4002 0.5000 Br
0.8484 0.6143 0.5000 Sc
0.0803 0.6229 0.0000 Sc
0.3771 0.0803 0.0000 Sc
0.6143 0.1516 0.5000 Sc
0.3857 0.8484 0.5000 Sc
0.9197 0.3771 0.0000 Sc
0.1516 0.3857 0.5000 Sc
0.6229 0.9197 0.0000 Sc
```

The calculation puts the density of states at the Fermi level at 7.96 states/eV/cell.

# 19
A plane-wave DFT calculation with PBE-GGA was carried out for a relaxed structure of ScBr3.

Cell and atoms, written as POSCAR:
```
ScBr3
1.0
-7.4525 -6.0135 1.3452
6.1603 -7.3214 1.3997
-0.6050 -6.1297 4.0041
Br Sc
6 2
direct
0.3750 0.5185 0.7500 Br
0.4815 0.1250 0.2500 Br
0.0000 0.0000 0.0000 Br
0.7500 0.2500 0.5000 Br
0.8750 0.7315 0.7500 Br
0.2685 0.6250 0.2500 Br
0.2500 0.7500 0.5000 Sc
0.5000 0.5000 0.0000 Sc
```

The calculation puts the density of states at the Fermi level at 0.00 states/eV/cell.

# 20
A plane-wave DFT calculation with PBE-GGA was carried out for a relaxed structure of ScBr.

Cell and atoms, written as POSCAR:
```
ScBr
1.0
6.7293 0.0000 0.0000
0.0000 5.8723 0.0000
0.0000 0.0000 10.0756
Sc Br
8 8
direct
0.7174 0.3944 0.5248 Sc
0.9032 0.1216 0.2269 Sc
0.0968 0.6216 0.2731 Sc
0.2826 0.8944 0.9752 Sc
0.7826 0.6056 0.0248 Sc
0.4032 0.3784 0.7731 Sc
0.5968 0.8784 0.7269 Sc
0.2174 0.1056 0.4752 Sc
0.8677 0.8387 0.4697 Br
0.3677 0.6613 0.5303 Br
0.1323 0.3387 0.0303 Br
0.4766 0.7068 0.1781 Br
0.9766 0.7932 0.8219 Br
0.5234 0.2068 0.3219 Br
0.6323 0.1613 0.9697 Br
0.0234 0.2932 0.6781 Br
```

The calculation puts the density of states at the Fermi level at 7.07 states/eV/cell.

Magnetic moment for every record listed, in sequence, given in Bohr magnetons per cell: 0.00; 0.00; 1.02; 0.00; 2.22; 0.00; 0.00; 2.84; 0.00; 0.00; 0.00; 0.53; 0.00; 7.80; 0.00; 1.18; 0.00; 1.97; 0.00; 0.00.
Formation energy from raw total energies for every record listed, in sequence, given in eV per atom: -1.11; -0.11; -0.98; -0.28; 0.30; -1.66; -1.01; -0.96; -0.73; -1.35; -0.22; -1.06; 0.10; -0.11; -0.62; -0.12; -0.44; -1.02; -1.45; -0.83.